# AcMgIr

AcMgIr after structural relaxation (PBE, OQMD).

abc: 7.0654 7.0654 7.0654
angles: 90.00 90.00 90.00
With the nearest neighbours (Å) after each atom.
Space group F-43m (No. 216)
Asymmetric unit:
1 Ac 0.0000 0.0000 0.0000 (multiplicity 4)  4 Mg 3.06, 4 Ir 3.06
2 Mg 0.2500 0.2500 0.2500 (multiplicity 4)  4 Ac 3.06
3 Ir 0.2500 0.2500 0.7500 (multiplicity 4)  4 Ac 3.06

Summary:
Calculated density (Mg/m³): 8.35
Total DFT energy (no corrections) (eV/atom): -4.40

=====

# NaAcIr

NaAcIr after structural relaxation (PBE, OQMD).

abc: 6.9792 6.9792 6.9792
angles: 90.00 90.00 90.00
With the nearest neighbours (Å) after each atom.
Space group F-43m (No. 216)
Asymmetric unit:
1 Na 0.0000 0.0000 0.0000 (multiplicity 4)  4 Ir 3.02
2 Ac 0.0000 0.0000 0.5000 (multiplicity 4)  4 Ir 3.02
3 Ir 0.2500 0.2500 0.2500 (multiplicity 4)  4 Ac 3.02, 4 Na 3.02

Summary:
Calculated density (Mg/m³): 8.64
Total DFT energy (no corrections) (eV/atom): -4.85

=====

# NaAcIr

NaAcIr after structural relaxation (PBE, OQMD).

abc: 7.0192 7.0192 7.0192
angles: 90.00 90.00 90.00
With the nearest neighbours (Å) after each atom.
Space group F-43m (No. 216)
Asymmetric unit:
1 Na 0.0000 0.0000 0.0000 (multiplicity 4)  4 Ac 3.04
2 Ac 0.2500 0.2500 0.7500 (multiplicity 4)  4 Na 3.04, 4 Ir 3.04
3 Ir 0.0000 0.0000 0.5000 (multiplicity 4)  4 Ac 3.04

Summary:
Calculated density (Mg/m³): 8.49
Total DFT energy (no corrections) (eV/atom): -4.35

=====

# AcNb2Ir2

AcNb2Ir2 after structural relaxation (PBE, OQMD).

abc: 4.5363 4.5363 10.7454
angles: 90.00 90.00 90.00
With the nearest neighbours (Å) after each atom.
Space group I4/mmm (No. 139)
Asymmetric unit:
1 Ac 0.0000 0.0000 0.0000 (multiplicity 2)  8 Ir 3.50, 8 Nb 3.52
2 Nb 0.0000 0.5000 0.2500 (multiplicity 4)  4 Ir 2.61
3 Ir 0.0000 0.0000 0.3702 (multiplicity 4)  4 Nb 2.61, 1 Ir 2.79

Summary:
Calculated density (Mg/m³): 11.97
ΔH_f (0 K) (eV/atom): -0.5040
Total DFT energy (no corrections) (eV/atom): -8.90

=====

# AcIrO3

AcIrO3 after structural relaxation (PBE, OQMD).

abc: 5.8550 5.8550 14.8796
angles: 90.00 90.00 120.00
With the nearest neighbours (Å) after each atom.
Space group R-3 (No. 148, hexagonal axes)
Asymmetric unit:
1 Ac 0.0000 0.0000 0.1304 (multiplicity 6)  3 O 2.36
2 Ir 0.0000 0.0000 0.3376 (multiplicity 6)  6 O 2.10-2.13
3 O 0.0109 0.3757 0.9318 (multiplicity 18)  2 Ir 2.10-2.13

Summary:
Calculated density (Mg/m³): 10.54
Total DFT energy (no corrections) (eV/atom): -7.27

=====

# AcIrO3

AcIrO3 after structural relaxation (PBE, OQMD).

abc: 4.0173 4.0173 5.2549
angles: 90.00 90.00 90.00
With the nearest neighbours (Å) after each atom.
Space group P4mm (No. 99)
Asymmetric unit:
1 Ac 0.0000 0.0000 0.0000 (multiplicity 1)  1 O 2.09
2 Ir 0.5000 0.5000 0.3231 (multiplicity 1)  4 O 2.02
3 O 0.0000 0.0000 0.6016 (multiplicity 1)  1 Ac 2.09
4 O 0.0000 0.5000 0.2761 (multiplicity 2)  2 Ir 2.02

Summary:
Calculated density (Mg/m³): 9.15
Total DFT energy (no corrections) (eV/atom): -6.59

=====

Look up the calculated density of the fifth one.
10.54 Mg/m³

=====

What did the second record say?
# NaAcIr

NaAcIr after structural relaxation (PBE, OQMD).

abc: 6.9792 6.9792 6.9792
angles: 90.00 90.00 90.00
With the nearest neighbours (Å) after each atom.
Space group F-43m (No. 216)
Asymmetric unit:
1 Na 0.0000 0.0000 0.0000 (multiplicity 4)  4 Ir 3.02
2 Ac 0.0000 0.0000 0.5000 (multiplicity 4)  4 Ir 3.02
3 Ir 0.2500 0.2500 0.2500 (multiplicity 4)  4 Ac 3.02, 4 Na 3.02

Summary:
Calculated density (Mg/m³): 8.64
Total DFT energy (no corrections) (eV/atom): -4.85

=====

Which of these has the lowest calculated density?
AcMgIr